[1]
{
  "formula": "Rb4Cu8Ge3S12",
  "functional": "PBE",
  "state": "optimized geometry",
  "crystal_system": "tetragonal",
  "raw_formation_energy_ev_per_atom": -0.547,
  "lattice_angstrom": [[-11.796, -3.832, 1.136], [9.478, -8.273, 2.232], [2.293, -3.589, 11.704]],
  "species": ["Ge", "Ge", "Ge", "Ge", "Ge", "Ge", "Cu", "Cu", "Cu", "Cu", "Cu", "Cu", "Cu", "Cu", "Cu", "Cu", "Cu", "Cu", "Cu", "Cu", "Cu", "Cu", "S", "S", "S", "S", "S", "S", "S", "S", "S", "S", "S", "S", "S", "S", "S", "S", "S", "S", "S", "S", "S", "S", "S", "S", "Rb", "Rb", "Rb", "Rb", "Rb", "Rb", "Rb", "Rb"],
  "fractional_positions": [[0.000, 0.000, 0.000], [0.001, 0.500, 0.999], [0.499, 0.500, 0.501], [0.501, 0.500, 0.001], [0.500, 0.000, 0.500], [0.999, 0.500, 0.499], [0.661, 0.324, 0.157], [0.337, 0.684, 0.482], [0.847, 0.684, 0.982], [0.347, 0.684, 0.835], [0.982, 0.316, 0.837], [0.163, 0.324, 0.657], [0.482, 0.316, 0.347], [0.837, 0.684, 0.335], [0.335, 0.316, 0.847], [0.161, 0.324, 0.019], [0.019, 0.676, 0.163], [0.657, 0.676, 0.161], [0.835, 0.316, 0.337], [0.663, 0.324, 0.519], [0.519, 0.676, 0.661], [0.157, 0.676, 0.663], [0.822, 0.504, 0.969], [0.034, 0.852, 0.976], [0.828, 0.298, 0.526], [0.028, 0.496, 0.181], [0.181, 0.504, 0.469], [0.676, 0.702, 0.970], [0.317, 0.852, 0.476], [0.476, 0.148, 0.534], [0.534, 0.852, 0.673], [0.026, 0.702, 0.328], [0.970, 0.298, 0.026], [0.681, 0.504, 0.528], [0.322, 0.504, 0.028], [0.673, 0.148, 0.317], [0.817, 0.852, 0.173], [0.328, 0.298, 0.676], [0.176, 0.702, 0.828], [0.470, 0.298, 0.176], [0.526, 0.702, 0.470], [0.969, 0.496, 0.681], [0.469, 0.496, 0.322], [0.528, 0.496, 0.822], [0.976, 0.148, 0.817], [0.173, 0.148, 0.034], [0.309, 0.000, 0.191], [0.847, 0.694, 0.653], [0.347, 0.694, 0.153], [0.653, 0.306, 0.847], [0.153, 0.306, 0.347], [0.191, 0.000, 0.691], [0.809, 0.000, 0.309], [0.691, 0.000, 0.809]]
}

[2]
{
  "formula": "TaCuPd3",
  "functional": "PBE",
  "state": "optimized geometry",
  "crystal_system": "cubic",
  "de_polymorph_mev_per_atom": 1156.3,
  "e_form_ev_per_atom": 1.06,
  "lattice_angstrom": [[4.822, 0.000, 0.000], [0.000, 4.822, 0.000], [0.000, 0.000, 4.822]],
  "species": ["Pd", "Pd", "Pd", "Cu", "Ta"],
  "fractional_positions": [[0.000, 0.000, 0.500], [0.500, 0.000, 0.000], [0.000, 0.500, 0.000], [0.500, 0.500, 0.500], [0.000, 0.000, 0.000]]
}

[3]
{
  "formula": "NaBeRh3",
  "functional": "PBE",
  "state": "optimized geometry",
  "crystal_system": "cubic",
  "de_polymorph_mev_per_atom": 0.0,
  "e_form_ev_per_atom": 0.27,
  "lattice_angstrom": [[-0.969, 3.336, 2.394], [1.015, -2.189, 3.461], [3.979, 1.371, -0.300]],
  "species": ["Be", "Rh", "Rh", "Rh", "Na"],
  "fractional_positions": [[0.000, 0.000, 0.000], [0.000, 0.500, 0.000], [0.000, 0.000, 0.500], [0.500, 0.000, 0.000], [0.500, 0.500, 0.500]]
}

[4]
{
  "formula": "TbCeIn2",
  "functional": "PBE",
  "state": "optimized geometry",
  "crystal_system": "tetragonal",
  "e_form_ev_per_atom": -0.38,
  "lattice_angstrom": [[3.754, 0.000, 0.000], [0.000, 5.457, 0.000], [0.000, 0.000, 5.457]],
  "species": ["In", "In", "Ce", "Tb"],
  "fractional_positions": [[0.000, 0.000, 0.500], [0.000, 0.500, 0.000], [0.500, 0.500, 0.500], [0.500, 0.000, 0.000]]
}

[5]
{
  "formula": "RbTl2Pd2",
  "functional": "PBE",
  "state": "optimized geometry",
  "crystal_system": "tetragonal",
  "de_polymorph_mev_per_atom": 99.6,
  "e_form_ev_per_atom": -0.07,
  "lattice_angstrom": [[-1.347, -8.576, -0.354], [4.064, -0.953, 7.620], [-2.746, 0.369, 1.510]],
  "species": ["Rb", "Rb", "Pd", "Pd", "Pd", "Pd", "Tl", "Tl", "Tl", "Tl"],
  "fractional_positions": [[0.500, 0.500, 0.000], [0.000, 0.000, 0.000], [0.340, 0.840, 0.000], [0.660, 0.160, 0.000], [0.160, 0.340, 0.000], [0.840, 0.660, 0.000], [0.133, 0.633, 0.500], [0.367, 0.133, 0.500], [0.867, 0.367, 0.500], [0.633, 0.867, 0.500]]
}

[6]
{
  "formula": "BeZnRhAu",
  "functional": "PBE",
  "state": "optimized geometry",
  "crystal_system": "cubic",
  "e_form_ev_per_atom": -0.26,
  "lattice_angstrom": [[4.236, 0.000, 0.000], [2.118, 3.669, 0.000], [2.118, 1.223, 3.459]],
  "species": ["Be", "Zn", "Au", "Rh"],
  "fractional_positions": [[0.500, 0.500, 0.500], [0.000, 0.000, 0.000], [0.250, 0.250, 0.250], [0.750, 0.750, 0.750]]
}

[7]
{
  "formula": "CeSm2Tl3Se6",
  "functional": "PBE",
  "state": "optimized geometry",
  "crystal_system": "monoclinic",
  "raw_formation_energy_ev_per_atom": -1.358,
  "lattice_angstrom": [[7.448, -0.001, 0.000], [-3.723, 6.451, 0.000], [-1.242, -2.150, 7.749]],
  "species": ["Se", "Se", "Se", "Se", "Se", "Se", "Tl", "Tl", "Tl", "Sm", "Sm", "Ce"],
  "fractional_positions": [[0.406, 0.070, 0.209], [0.070, 0.406, 0.209], [0.594, 0.930, 0.791], [0.930, 0.594, 0.791], [0.733, 0.733, 0.208], [0.267, 0.267, 0.792], [0.833, 0.167, 0.500], [0.167, 0.833, 0.500], [0.500, 0.500, 0.500], [0.667, 0.333, 0.000], [0.333, 0.667, 0.000], [0.000, 0.000, 0.000]]
}

[8]
{
  "formula": "Ta6FeTc5",
  "functional": "PBE",
  "state": "optimized geometry",
  "crystal_system": "orthorhombic",
  "e_form_ev_per_atom": -0.42,
  "lattice_angstrom": [[4.313, 0.018, -1.259], [-0.872, 5.582, -2.907], [-0.083, 0.401, 7.740]],
  "species": ["Tc", "Tc", "Tc", "Tc", "Tc", "Ta", "Ta", "Ta", "Ta", "Ta", "Ta", "Fe"],
  "fractional_positions": [[0.667, 0.667, 0.333], [0.335, 0.835, 0.669], [0.665, 0.165, 0.331], [0.000, 0.500, 0.000], [0.333, 0.333, 0.667], [0.835, 0.586, 0.669], [0.500, 0.248, 0.000], [0.166, 0.917, 0.331], [0.834, 0.083, 0.669], [0.165, 0.414, 0.331], [0.500, 0.752, 0.000], [0.000, 0.000, 0.000]]
}

[9]
{
  "formula": "Tl2AgBiTe4",
  "functional": "PBE",
  "state": "optimized geometry",
  "crystal_system": "orthorhombic",
  "raw_formation_energy_ev_per_atom": -0.159,
  "lattice_angstrom": [[8.983, 0.020, -0.012], [0.014, 8.984, -0.012], [-4.444, -4.447, 6.376]],
  "species": ["Bi", "Bi", "Te", "Te", "Te", "Te", "Te", "Te", "Te", "Te", "Ag", "Ag", "Tl", "Tl", "Tl", "Tl"],
  "fractional_positions": [[0.000, 0.500, 0.000], [0.000, 0.500, 0.500], [0.753, 0.747, 0.976], [0.247, 0.253, 0.024], [0.746, 0.271, 0.508], [0.254, 0.729, 0.492], [0.753, 0.747, 0.524], [0.771, 0.246, 0.008], [0.247, 0.253, 0.476], [0.229, 0.754, 0.992], [0.000, 0.000, 0.000], [0.500, 0.500, 0.500], [0.500, 0.000, 0.000], [0.500, 0.000, 0.500], [0.000, 0.000, 0.500], [0.500, 0.500, 0.000]]
}

[10]
{
  "formula": "RbZnOs3",
  "functional": "PBE",
  "state": "optimized geometry",
  "crystal_system": "cubic",
  "de_polymorph_mev_per_atom": 1652.7,
  "e_form_ev_per_atom": 4.05,
  "lattice_angstrom": [[4.769, 0.000, 0.000], [0.000, 4.769, 0.000], [0.000, 0.000, 4.769]],
  "species": ["Rb", "Os", "Os", "Os", "Zn"],
  "fractional_positions": [[0.000, 0.000, 0.000], [0.000, 0.000, 0.500], [0.500, 0.000, 0.000], [0.000, 0.500, 0.000], [0.500, 0.500, 0.500]]
}

[11]
{
  "formula": "SrBW3",
  "functional": "PBE",
  "state": "optimized geometry",
  "crystal_system": "cubic",
  "de_polymorph_mev_per_atom": 0.0,
  "e_form_ev_per_atom": 0.96,
  "lattice_angstrom": [[4.431, 0.000, 0.000], [0.000, 4.431, 0.000], [0.000, 0.000, 4.431]],
  "species": ["W", "W", "W", "Sr", "B"],
  "fractional_positions": [[0.000, 0.500, 0.000], [0.500, 0.000, 0.000], [0.000, 0.000, 0.500], [0.500, 0.500, 0.500], [0.000, 0.000, 0.000]]
}

Number 9 is which compound? Tl2AgBiTe4

Please write out number 10 again, unchanged.
{
  "formula": "RbZnOs3",
  "functional": "PBE",
  "state": "optimized geometry",
  "crystal_system": "cubic",
  "de_polymorph_mev_per_atom": 1652.7,
  "e_form_ev_per_atom": 4.05,
  "lattice_angstrom": [[4.769, 0.000, 0.000], [0.000, 4.769, 0.000], [0.000, 0.000, 4.769]],
  "species": ["Rb", "Os", "Os", "Os", "Zn"],
  "fractional_positions": [[0.000, 0.000, 0.000], [0.000, 0.000, 0.500], [0.500, 0.000, 0.000], [0.000, 0.500, 0.000], [0.500, 0.500, 0.500]]
}